First-principles (PBE-GGA) data for a relaxed Bi2NF crystal, as listed in the Alexandria database.

Geometry as POSCAR:
```
Bi2NF
1.0
5.248 0.000 0.000
0.000 5.248 0.000
2.624 2.624 6.650
Bi N F
4 2 2
Direct
0.875 0.818 0.750
0.568 0.125 0.250
0.375 0.432 0.750
0.182 0.625 0.250
0.500 0.500 0.000
0.250 0.750 0.500
0.750 0.250 0.500
0.000 0.000 0.000
```

Results
Size of the total moment   0.00 Bohr magnetons per cell
Raw total energy   -37.233 eV for the cell shown
Formation energy from raw total energies   -0.1645 eV/atom
Relative energy among the computed polymorphs   0.00 kJ/mol of atoms